# 1
Tc4BiO12: optimized geometry, GGA-PBE.

abc: 6.620 6.620 6.620
angles: 108.66 108.66 111.11
Atoms (fractional coordinates):
Tc1 0.000 0.000 0.500
Tc2 0.000 0.500 0.000
Tc3 0.500 0.000 0.000
Tc4 0.500 0.500 0.500
Bi1 0.000 0.000 0.000
O1 0.035 0.789 0.247
O2 0.211 0.458 0.247
O3 0.211 0.965 0.753
O4 0.278 0.278 0.556
O5 0.278 0.722 0.000
O6 0.458 0.211 0.247
O7 0.542 0.789 0.753
O8 0.722 0.278 0.000
O9 0.722 0.722 0.444
O10 0.789 0.035 0.247
O11 0.789 0.542 0.753
O12 0.965 0.211 0.753

Properties
VASP energy: -126.715 eV for the cell shown
SG: I4/mmm (139)

***

# 2
TcBi2O2: optimized geometry, GGA-PBE.

abc: 6.145 6.145 4.862
angles: 90.00 90.00 90.00
Atoms (fractional coordinates):
Tc1 0.000 0.000 0.000
Tc2 0.500 0.500 0.000
Bi1 0.192 0.308 0.500
Bi2 0.308 0.808 0.500
Bi3 0.692 0.192 0.500
Bi4 0.808 0.692 0.500
O1 0.227 0.273 0.000
O2 0.273 0.773 0.000
O3 0.727 0.227 0.000
O4 0.773 0.727 0.000

Properties
Distance to the lowest polymorph of the same formula: 0 meV per atom
SG: P4/mbm (127)

***

# 3
TcBi2O8: optimized geometry, GGA-PBE.

abc: 4.404 6.459 6.475
angles: 89.66 78.81 79.02
Atoms (fractional coordinates):
Tc1 0.000 0.000 0.000
Bi1 0.286 0.391 0.628
Bi2 0.688 0.819 0.508
O1 0.165 0.293 0.929
O2 0.233 0.701 0.490
O3 0.367 0.847 0.889
O4 0.399 0.115 0.442
O5 0.764 0.483 0.595
O6 0.798 0.057 0.788
O7 0.812 0.803 0.148
O8 0.961 0.166 0.221

Properties
VASP energy: -67.008 eV for the cell shown
SG: P1 (1)

***

# 4
Tc2BiO: optimized geometry, GGA-PBE.

abc: 6.304 6.304 6.304
angles: 90.00 90.00 90.00
Atoms (fractional coordinates):
Tc1 0.250 0.250 0.250
Tc2 0.250 0.250 0.750
Tc3 0.250 0.750 0.250
Tc4 0.250 0.750 0.750
Tc5 0.750 0.250 0.250
Tc6 0.750 0.250 0.750
Tc7 0.750 0.750 0.250
Tc8 0.750 0.750 0.750
Bi1 0.000 0.000 0.000
Bi2 0.000 0.500 0.500
Bi3 0.500 0.000 0.500
Bi4 0.500 0.500 0.000
O1 0.000 0.000 0.500
O2 0.000 0.500 0.000
O3 0.500 0.000 0.000
O4 0.500 0.500 0.500

Properties
Distance to the lowest polymorph of the same formula: 567 meV per atom
SG: Fm-3m (225)

***

# 5
TcBiO3: optimized geometry, GGA-PBE.

abc: 3.767 6.758 6.047
angles: 90.00 90.12 90.00
Atoms (fractional coordinates):
Tc1 0.250 0.250 0.248
Tc2 0.750 0.750 0.752
Bi1 0.250 0.250 0.749
Bi2 0.750 0.750 0.251
O1 0.250 0.535 0.250
O2 0.250 0.750 0.752
O3 0.250 0.965 0.250
O4 0.750 0.035 0.750
O5 0.750 0.250 0.248
O6 0.750 0.465 0.750

Properties
VASP energy: -68.779 eV for the cell shown
SG: P2_1/m (11)

***

# 6
TcBi2O6: optimized geometry, GGA-PBE.

abc: 5.655 5.899 10.452
angles: 90.00 122.49 90.00
Atoms (fractional coordinates):
Tc1 0.000 0.000 0.000
Tc2 0.000 0.500 0.500
Bi1 0.296 0.003 0.795
Bi2 0.296 0.497 0.295
Bi3 0.704 0.503 0.705
Bi4 0.704 0.997 0.205
O1 0.015 0.184 0.158
O2 0.015 0.316 0.658
O3 0.294 0.690 0.654
O4 0.294 0.810 0.154
O5 0.307 0.167 0.001
O6 0.307 0.333 0.501
O7 0.693 0.667 0.499
O8 0.693 0.833 0.999
O9 0.706 0.190 0.846
O10 0.706 0.310 0.346
O11 0.985 0.684 0.342
O12 0.985 0.816 0.842

Properties
Distance to the lowest polymorph of the same formula: 0 meV per atom
SG: P2_1/c (14)

***

# 7
Tc2BiTeO: optimized geometry, GGA-PBE.

abc: 4.171 4.171 5.954
angles: 90.00 90.00 90.00
Atoms (fractional coordinates):
Tc1 0.000 0.500 0.000
Tc2 0.500 0.000 0.000
Bi1 0.000 0.000 0.500
Te1 0.500 0.500 0.500
O1 0.500 0.500 0.000

Properties
VASP energy: -29.808 eV for the cell shown
SG: P4/mmm (123)

***

# 8
TlTc2BiO8: optimized geometry, GGA-PBE.

abc: 8.772 8.772 8.772
angles: 37.30 37.30 37.30
Atoms (fractional coordinates):
Tl1 0.000 0.000 0.000
Tc1 0.249 0.249 0.249
Tc2 0.751 0.751 0.751
Bi1 0.500 0.500 0.500
O1 0.084 0.765 0.481
O2 0.235 0.519 0.916
O3 0.320 0.320 0.320
O4 0.481 0.084 0.765
O5 0.519 0.916 0.235
O6 0.680 0.680 0.680
O7 0.765 0.481 0.084
O8 0.916 0.235 0.519

Properties
VASP energy: -81.408 eV for the cell shown
SG: R-3 (148)

***

Here are the calculated DOS at the Fermi energy numbers, same order: 8.56, 5.44, 3.60, 18.33, 7.70, 3.03, 4.36, 7.08 (states/eV/cell).
Here are the calculated magnetic moment numbers, same order: 0.00, 2.20, 0.00, 0.00, 0.87, 1.02, 4.38, 1.91 (μB/f.u.).